The following is a PBE calculation of Sm12Dy7Pu after structural relaxation, from Alexandria.

a b c (Å): 9.9352 9.9352 9.9352
angles (deg): 109.47 109.47 109.47
With the nearest neighbours (Å) after each atom.
Fractional positions:
Sm: 0.4986 0.7494 0.7492  2 Dy 2.87
Sm: 0.0001 0.7494 0.2508  2 Dy 2.87
Sm: 0.5014 0.2506 0.2508  2 Dy 2.87
Sm: 0.9999 0.2506 0.7492  2 Dy 2.87
Sm: 0.7492 0.9999 0.2506  2 Dy 2.87
Sm: 0.7492 0.4986 0.7494  2 Dy 2.87
Sm: 0.2508 0.0001 0.7494  2 Dy 2.87
Sm: 0.2508 0.5014 0.2506  2 Dy 2.87
Sm: 0.7494 0.7492 0.4986  2 Dy 2.87
Sm: 0.2506 0.2508 0.5014  2 Dy 2.87
Sm: 0.7494 0.2508 0.0001  2 Dy 2.87
Sm: 0.2506 0.7492 0.9999  2 Dy 2.87
Dy: 0.5000 0.5000 0.0000  12 Sm 4.04-4.06
Dy: 0.0000 0.5000 0.5000  12 Sm 4.04-4.06
Dy: 0.5000 0.0000 0.5000  12 Sm 4.04-4.06
Dy: 0.5000 0.5000 0.5000  6 Sm 2.87
Dy: 0.0000 0.0000 0.5000  6 Sm 2.87
Dy: 0.5000 0.0000 0.0000  6 Sm 2.87
Dy: 0.0000 0.5000 0.0000  6 Sm 2.87
Pu: 0.0000 0.0000 0.0000  12 Sm 4.07

- Space-group type: Im-3m, No. 229
- Calculated formation energy: 0.711 eV/atom

***

The following is a PBE calculation of Sm7Dy12Pu after structural relaxation, from Alexandria.

a b c (Å): 9.7858 9.7858 9.7858
angles (deg): 109.47 109.47 109.47
With the nearest neighbours (Å) after each atom.
Fractional positions:
Sm: 0.5000 0.5000 0.0000  12 Dy 3.99-4.06
Sm: 0.0000 0.5000 0.5000  12 Dy 3.99-4.06
Sm: 0.5000 0.0000 0.5000  12 Dy 3.99-4.06
Sm: 0.5000 0.5000 0.5000  6 Dy 2.83
Sm: 0.0000 0.0000 0.5000  6 Dy 2.83
Sm: 0.5000 0.0000 0.0000  6 Dy 2.83
Sm: 0.0000 0.5000 0.0000  6 Dy 2.83
Dy: 0.5082 0.7537 0.7545  2 Sm 2.83
Dy: 0.9991 0.7537 0.2455  2 Sm 2.83
Dy: 0.4918 0.2463 0.2455  2 Sm 2.83
Dy: 0.0009 0.2463 0.7545  2 Sm 2.83
Dy: 0.7545 0.0009 0.2463  2 Sm 2.83
Dy: 0.7545 0.5082 0.7537  2 Sm 2.83
Dy: 0.2455 0.9991 0.7537  2 Sm 2.83
Dy: 0.2455 0.4918 0.2463  2 Sm 2.83
Dy: 0.7537 0.7545 0.5082  2 Sm 2.83
Dy: 0.2463 0.2455 0.4918  2 Sm 2.83
Dy: 0.7537 0.2455 0.9991  2 Sm 2.83
Dy: 0.2463 0.7545 0.0009  2 Sm 2.83
Pu: 0.0000 0.0000 0.0000  12 Dy 3.93

- Space-group type: Im-3, No. 204
- Calculated formation energy: 0.690 eV/atom

***

no.,magnetization (μB per formula unit)
1,6.62
2,6.88